Crystalline Sm2Ho6Hg at its relaxed geometry. Source: Alexandria, functional PBE.

Properties
The calculation puts the volume at 571.1 Å³/cell. The total energy is -4.10 eV per atom. As for the crystal system: orthorhombic. The formation energy comes out at 0.039 eV per atom.

a = 9.338 Å, b = 17.343 Å, c = 3.526 Å
α = 90.00°, β = 90.00°, γ = 90.00°
Space group Cmmm (No. 65)
Unique sites:
1 Sm 0.000 0.182 0.000 [4 per cell]
2 Ho 0.176 0.339 0.500 [8 per cell]
3 Ho 0.208 0.000 0.000 [4 per cell]
4 Hg 0.000 0.500 0.500 [2 per cell]

---

Crystalline SmHo2Hg6 at its relaxed geometry. Source: Alexandria, functional PBE.

Properties
The calculation puts the energy above the most stable polymorph in this dataset at 0.2345 eV/atom. The calculation puts the volume at 524.1 Å³/cell. The total energy is -1.91 eV per atom. As for the crystal system: tetragonal. The formation energy comes out at -0.162 eV per atom.

a = 4.520 Å, b = 4.520 Å, c = 25.649 Å
α = 90.00°, β = 90.00°, γ = 90.00°
Space group I4/mmm (No. 139)
Unique sites:
1 Sm 0.000 0.000 0.000 [2 per cell]
2 Ho 0.000 0.000 0.332 [4 per cell]
3 Hg 0.000 0.500 0.086 [8 per cell]
4 Hg 0.000 0.500 0.250 [4 per cell]

---

Crystalline Sm6Ho2Hg at its relaxed geometry. Source: Alexandria, functional PBE.

Properties
The calculation puts the volume at 591.5 Å³/cell. The total energy is -4.16 eV per atom. As for the crystal system: monoclinic. The formation energy comes out at 0.039 eV per atom.

a = 17.475 Å, b = 9.458 Å, c = 3.578 Å
α = 90.00°, β = 90.10°, γ = 90.00°
Space group C2/m (No. 12)
Unique sites:
1 Sm 0.000 0.205 0.000 [4 per cell]
2 Sm 0.163 0.325 0.499 [8 per cell]
3 Ho 0.180 0.000 0.998 [4 per cell]
4 Hg 0.000 0.500 0.500 [2 per cell]

---

Crystalline Sm3Ho2Hg7 at its relaxed geometry. Source: Alexandria, functional PBE.

Properties
The calculation puts the volume at 659.5 Å³/cell. The total energy is -2.44 eV per atom. As for the crystal system: orthorhombic. The formation energy comes out at -0.324 eV per atom.

a = 5.182 Å, b = 22.989 Å, c = 5.535 Å
α = 90.00°, β = 90.00°, γ = 90.00°
Space group Cmmm (No. 65)
Unique sites:
1 Sm 0.000 0.000 0.000 [2 per cell]
2 Sm 0.000 0.169 0.000 [4 per cell]
3 Ho 0.000 0.357 0.500 [4 per cell]
4 Hg 0.000 0.076 0.500 [4 per cell]
5 Hg 0.000 0.224 0.500 [4 per cell]
6 Hg 0.000 0.413 0.000 [4 per cell]
7 Hg 0.000 0.500 0.500 [2 per cell]